Crystalline LaHoIn2 at its relaxed geometry, computed with GGA-PBE.

The structure in POSCAR format:
```
LaHoIn2
1.0
5.0188 0.0000 0.0000
0.0000 5.0188 0.0000
0.0000 0.0000 4.5206
La Ho In
1 1 2
Direct
0.0000 0.0000 0.0000
0.5000 0.5000 0.0000
0.0000 0.5000 0.5000
0.5000 0.0000 0.5000
```

Values from the calculation:
Formation enthalpy at 0 K in eV/atom: -0.455
VASP energy in eV per formula unit: -16.80
SG: P4/mmm